The following is a PBE calculation of a geometry-optimized CrNi2Mo structure, from Alexandria via LeMat-Bulk.

## Properties
Its space group is P4mm. As for the crystal system: tetragonal. As for the formation enthalpy at 0 K: 98 meV per atom. The calculation puts the total DFT energy (no corrections) at -31.6 eV/cell.

Cell and atoms, written as extended XYZ:
```
4
Lattice="3.042 0.000 0.000 0.000 3.042 0.000 0.000 0.000 5.363" Properties=species:S:1:pos:R:3 pbc="T T T"
Cr 0.000 0.000 0.000
Ni 0.000 0.000 2.860
Ni 1.521 1.521 4.108
Mo 1.521 1.521 1.439
```